Density functional theory data (PBE) for CeErTcHg after structural relaxation.

Cell and atoms, written as POSCAR:
```
CeErTcHg
1.0
0.000 3.582 3.582
3.582 0.000 3.582
3.582 3.582 0.000
Ce Er Tc Hg
1 1 1 1
direct
0.000 0.000 0.000
0.500 0.500 0.500
0.750 0.750 0.750
0.250 0.250 0.250
```

Output
Space group ... F-43m (216)
Spin magnetization ... 0.0 μB/cell
VASP energy ... -21.62 eV per cell
Crystal system ... cubic


Density functional theory data (PBE) for Ce2ErTh2Hg5 after structural relaxation.

Cell and atoms, written as POSCAR:
```
Ce2ErTh2Hg5
1.0
10.883 0.000 0.000
0.000 10.883 0.000
0.000 0.000 4.669
Ce Er Th Hg
4 2 4 10
direct
0.133 0.367 0.000
0.367 0.867 0.000
0.633 0.133 0.000
0.867 0.633 0.000
0.000 0.000 0.000
0.500 0.500 0.000
0.175 0.675 0.000
0.325 0.175 0.000
0.675 0.825 0.000
0.825 0.325 0.000
0.000 0.500 0.500
0.101 0.173 0.500
0.173 0.899 0.500
0.327 0.399 0.500
0.399 0.673 0.500
0.500 0.000 0.500
0.601 0.327 0.500
0.673 0.601 0.500
0.827 0.101 0.500
0.899 0.827 0.500
```

Output
Space group ... P4/mbm (127)
Spin magnetization ... 3.8 μB/cell
VASP energy ... -68.04 eV per cell
Crystal system ... tetragonal


Density functional theory data (PBE) for CeErThHg after structural relaxation.

Cell and atoms, written as POSCAR:
```
CeErThHg
1.0
0.000 3.825 3.825
3.825 0.000 3.825
3.825 3.825 0.000
Ce Er Th Hg
1 1 1 1
direct
0.000 0.000 0.000
0.500 0.500 0.500
0.250 0.250 0.250
0.750 0.750 0.750
```

Output
Space group ... F-43m (216)
Spin magnetization ... 0.0 μB/cell
VASP energy ... -18.02 eV per cell
Crystal system ... cubic


Density functional theory data (PBE) for CeErTlHg after structural relaxation.

Cell and atoms, written as POSCAR:
```
CeErTlHg
1.0
0.000 3.805 3.805
3.805 0.000 3.805
3.805 3.805 0.000
Ce Er Tl Hg
1 1 1 1
direct
0.000 0.000 0.000
0.500 0.500 0.500
0.750 0.750 0.750
0.250 0.250 0.250
```

Output
Space group ... F-43m (216)
Spin magnetization ... 1.6 μB/cell
VASP energy ... -14.44 eV per cell
Crystal system ... cubic


Density functional theory data (PBE) for CeErTmHg after structural relaxation.

Cell and atoms, written as POSCAR:
```
CeErTmHg
1.0
0.000 3.732 3.732
3.732 0.000 3.732
3.732 3.732 0.000
Ce Er Tm Hg
1 1 1 1
direct
0.000 0.000 0.000
0.250 0.250 0.250
0.750 0.750 0.750
0.500 0.500 0.500
```

Output
Space group ... F-43m (216)
Spin magnetization ... 0.5 μB/cell
VASP energy ... -15.18 eV per cell
Crystal system ... cubic


Density functional theory data (PBE) for Ce2ErZn2Hg2 after structural relaxation.

Cell and atoms, written as POSCAR:
```
Ce2ErZn2Hg2
1.0
2.278 1.315 8.878
-2.278 1.315 8.878
0.000 -2.630 8.878
Ce Er Zn Hg
2 1 2 2
direct
0.141 0.141 0.141
0.859 0.859 0.859
0.000 0.000 0.000
0.408 0.408 0.408
0.592 0.592 0.592
0.268 0.268 0.268
0.732 0.732 0.732
```

Output
Space group ... R-3m (166)
Spin magnetization ... 1.4 μB/cell
VASP energy ... -21.35 eV per cell
Crystal system ... trigonal


Density functional theory data (PBE) for CeHo6Er12 after structural relaxation.

Cell and atoms, written as POSCAR:
```
CeHo6Er12
1.0
6.554 3.784 4.093
-6.554 3.784 4.093
0.000 -7.568 4.093
Ce Ho Er
1 6 12
direct
0.000 0.000 0.000
0.104 0.104 0.662
0.104 0.662 0.104
0.338 0.896 0.896
0.662 0.104 0.104
0.896 0.338 0.896
0.896 0.896 0.338
0.079 0.351 0.351
0.243 0.500 0.757
0.243 0.757 0.500
0.351 0.079 0.351
0.351 0.351 0.079
0.500 0.243 0.757
0.500 0.757 0.243
0.649 0.649 0.921
0.649 0.921 0.649
0.757 0.243 0.500
0.757 0.500 0.243
0.921 0.649 0.649
```

Output
Space group ... R-3m (166)
Spin magnetization ... 1.5 μB/cell
VASP energy ... -84.03 eV per cell
Crystal system ... trigonal


Density functional theory data (PBE) for CeHo6Er3 after structural relaxation.

Cell and atoms, written as POSCAR:
```
CeHo6Er3
1.0
4.677 -7.502 0.000
4.677 7.502 0.000
0.000 0.000 8.943
Ce Ho Er
2 12 6
direct
0.231 0.769 0.500
0.769 0.231 0.000
0.056 0.944 0.288
0.169 0.474 0.769
0.171 0.299 0.101
0.299 0.171 0.601
0.456 0.544 0.417
0.474 0.169 0.269
0.526 0.831 0.769
0.544 0.456 0.917
0.701 0.829 0.101
0.829 0.701 0.601
0.831 0.526 0.269
0.944 0.056 0.788
0.031 0.314 0.434
0.288 0.712 0.146
0.314 0.031 0.934
0.686 0.969 0.434
0.712 0.288 0.646
0.969 0.686 0.934
```

Output
Space group ... Cmc2_1 (36)
Spin magnetization ... 2.2 μB/cell
VASP energy ... -91.02 eV per cell
Crystal system ... orthorhombic


Density functional theory data (PBE) for CeHo10Er6 after structural relaxation.

Cell and atoms, written as POSCAR:
```
CeHo10Er6
1.0
9.564 0.000 0.000
-4.782 8.282 0.000
0.000 0.000 6.750
Ce Ho Er
1 10 6
direct
0.000 0.000 0.000
0.000 0.275 0.682
0.000 0.725 0.318
0.275 0.000 0.682
0.275 0.275 0.318
0.333 0.667 0.000
0.333 0.667 0.500
0.667 0.333 0.000
0.667 0.333 0.500
0.725 0.000 0.318
0.725 0.725 0.682
0.000 0.376 0.196
0.000 0.624 0.804
0.376 0.000 0.196
0.376 0.376 0.804
0.624 0.000 0.804
0.624 0.624 0.196
```

Output
Space group ... P-31m (162)
Spin magnetization ... 1.1 μB/cell
VASP energy ... -76.53 eV per cell
Crystal system ... trigonal


Density functional theory data (PBE) for Ce2Ho12Er5 after structural relaxation.

Cell and atoms, written as POSCAR:
```
Ce2Ho12Er5
1.0
6.135 0.000 0.000
0.459 10.022 0.000
0.969 4.051 9.563
Ce Ho Er
2 12 5
direct
0.200 0.484 0.041
0.800 0.516 0.959
0.026 0.154 0.340
0.096 0.834 0.995
0.112 0.170 0.669
0.390 0.672 0.472
0.414 0.328 0.843
0.452 0.702 0.765
0.548 0.298 0.235
0.586 0.672 0.157
0.610 0.328 0.528
0.888 0.830 0.331
0.904 0.166 0.005
0.974 0.846 0.660
0.077 0.494 0.338
0.402 0.003 0.164
0.500 0.000 0.500
0.598 0.997 0.836
0.923 0.506 0.662
```

Output
Space group ... P-1 (2)
Spin magnetization ... 0.0 μB/cell
VASP energy ... -87.65 eV per cell
Crystal system ... triclinic


Density functional theory data (PBE) for CeHo6Er10 after structural relaxation.

Cell and atoms, written as POSCAR:
```
CeHo6Er10
1.0
9.549 0.000 0.000
-4.774 8.270 0.000
0.000 0.000 6.745
Ce Ho Er
1 6 10
direct
0.000 0.000 0.000
0.000 0.377 0.803
0.000 0.623 0.197
0.377 0.000 0.803
0.377 0.377 0.197
0.623 0.000 0.197
0.623 0.623 0.803
0.000 0.274 0.318
0.000 0.726 0.682
0.274 0.000 0.318
0.274 0.274 0.682
0.333 0.667 0.000
0.333 0.667 0.500
0.667 0.333 0.000
0.667 0.333 0.500
0.726 0.000 0.682
0.726 0.726 0.318
```

Output
Space group ... P-31m (162)
Spin magnetization ... 1.2 μB/cell
VASP energy ... -76.49 eV per cell
Crystal system ... trigonal


Density functional theory data (PBE) for CeHo2Er2 after structural relaxation.

Cell and atoms, written as POSCAR:
```
CeHo2Er2
1.0
-2.228 2.228 8.341
2.228 -2.228 8.341
2.228 2.228 -8.341
Ce Ho Er
1 2 2
direct
0.000 0.000 0.000
0.250 0.750 0.500
0.750 0.250 0.500
0.406 0.406 0.000
0.594 0.594 0.000
```

Output
Space group ... I4/mmm (139)
Spin magnetization ... 1.5 μB/cell
VASP energy ... -22.12 eV per cell
Crystal system ... tetragonal